1 | Crystalline LiGaI3 at its relaxed geometry. Source: the Alexandria database, functional PBE.

Cell lengths 5.7831, 5.7831, 5.7831 Å; angles 90.00, 90.00, 90.00 degrees
Sites, in units of the cell vectors:
I (0.0000, 0.5000, 0.0000)
I (0.0000, 0.0000, 0.5000)
I (0.5000, 0.0000, 0.0000)
Ga (0.0000, 0.0000, 0.0000)
Li (0.5000, 0.5000, 0.5000)

Summary:
As for the magnetic moment: 0.00 μB per cell.

2 | Crystalline LiGaI3 at its relaxed geometry. Source: the Alexandria database, functional PBE.

Cell lengths 7.3955, 9.0617, 12.5715 Å; angles 90.00, 89.10, 90.00 degrees
Sites, in units of the cell vectors:
Li (0.0324, 0.7549, 0.2561)
Li (0.4676, 0.2549, 0.2439)
Li (0.9676, 0.2451, 0.7439)
Li (0.5324, 0.7451, 0.7561)
Ga (0.5088, 0.6172, 0.0478)
Ga (0.9912, 0.1172, 0.4522)
Ga (0.4912, 0.3828, 0.9522)
Ga (0.0088, 0.8828, 0.5478)
I (0.3411, 0.7845, 0.5691)
I (0.1589, 0.2845, 0.9309)
I (0.6589, 0.2155, 0.4309)
I (0.8411, 0.7155, 0.0691)
I (0.8584, 0.9244, 0.7414)
I (0.6416, 0.4244, 0.7586)
I (0.1416, 0.0756, 0.2586)
I (0.3584, 0.5756, 0.2414)
I (0.8406, 0.6779, 0.4392)
I (0.6594, 0.1779, 0.0607)
I (0.1594, 0.3221, 0.5607)
I (0.3406, 0.8221, 0.9392)

Summary:
As for the magnetic moment: 0.00 μB per cell.

3 | Crystalline LiGaI3 at its relaxed geometry. Source: the Alexandria database, functional PBE.

Cell lengths 11.5751, 7.3061, 8.6114 Å; angles 87.12, 90.00, 90.00 degrees
Sites, in units of the cell vectors:
Li (0.5000, 0.0000, 0.5000)
Li (0.5000, 0.5000, 0.0000)
Li (0.0000, 0.0000, 0.5000)
Li (0.0000, 0.5000, 0.0000)
Ga (0.2500, 0.0362, 0.9673)
Ga (0.7500, 0.8678, 0.7616)
Ga (0.7500, 0.9638, 0.0327)
Ga (0.2500, 0.1322, 0.2384)
I (0.7500, 0.3209, 0.0652)
I (0.5693, 0.6676, 0.6869)
I (0.0693, 0.3324, 0.3131)
I (0.4307, 0.3324, 0.3131)
I (0.0701, 0.1820, 0.8140)
I (0.5701, 0.8180, 0.1860)
I (0.9299, 0.8180, 0.1860)
I (0.4299, 0.1820, 0.8140)
I (0.2500, 0.6791, 0.9348)
I (0.7500, 0.1357, 0.5444)
I (0.2500, 0.8643, 0.4556)
I (0.9307, 0.6676, 0.6869)

Summary:
As for the magnetic moment: 0.00 μB per cell.

Most stable: 3